10
Lattice="5.050 2.916 4.001 -5.050 2.916 4.001 0.000 -5.831 4.001" Properties=species:S:1:pos:R:3 comment="GGA-PBE PrNd6Sm3, relaxed" volume_a3_per_fu=353.48 de_polymorph_ev_per_atom=0.095 mass_density_g_cm3=6.85 pbc="T T T"
Pr 0.000 0.000 0.000
Nd -1.651 -2.972 4.001
Nd -3.287 0.000 6.002
Nd -1.748 2.916 4.001
Nd 1.644 -2.847 6.002
Nd 3.399 0.056 4.001
Nd 1.644 2.847 6.002
Sm 0.000 0.000 3.027
Sm 0.000 0.000 6.002
Sm 0.000 0.000 8.976